(1)
Material: Pr7ZnBr12
Method: DFT, PBE
State: optimized geometry

Lattice parameters (Å, degrees): 9.5730 9.5730 9.5730 108.21 108.21 108.21
With the nearest neighbours (Å) after each atom.
Positions (direct):
1 Pr 0.0000 0.0000 0.0000  6 Br 3.01
2 Pr 0.1656 0.3810 0.4581  1 Zn 2.89, 5 Br 3.02-3.13
3 Pr 0.3810 0.4581 0.1656  1 Zn 2.89, 5 Br 3.02-3.13
4 Pr 0.4581 0.1656 0.3810  1 Zn 2.89, 5 Br 3.02-3.13
5 Pr 0.5419 0.8344 0.6190  1 Zn 2.89, 5 Br 3.02-3.13
6 Pr 0.6190 0.5419 0.8344  1 Zn 2.89, 5 Br 3.02-3.13
7 Pr 0.8344 0.6190 0.5419  1 Zn 2.89, 5 Br 3.02-3.13
8 Zn 0.5000 0.5000 0.5000  6 Pr 2.89
9 Br 0.0217 0.3397 0.1061  3 Pr 3.01-3.06
10 Br 0.1061 0.0217 0.3397  3 Pr 3.01-3.06
11 Br 0.1927 0.7244 0.5769  3 Pr 3.02-3.13
12 Br 0.2756 0.4231 0.8073  3 Pr 3.02-3.13
13 Br 0.3397 0.1061 0.0217  3 Pr 3.01-3.06
14 Br 0.4231 0.8073 0.2756  3 Pr 3.02-3.13
15 Br 0.5769 0.1927 0.7244  3 Pr 3.02-3.13
16 Br 0.6603 0.8939 0.9783  3 Pr 3.01-3.06
17 Br 0.7244 0.5769 0.1927  3 Pr 3.02-3.13
18 Br 0.8073 0.2756 0.4231  3 Pr 3.02-3.13
19 Br 0.8939 0.9783 0.6603  3 Pr 3.01-3.06
20 Br 0.9783 0.6603 0.8939  3 Pr 3.01-3.06

Results
formation energy (no corrections): -1.561 eV per atom
crystal system: trigonal

=====

(2)
Material: MnGa3Fe7
Method: DFT, PBE
State: optimized geometry

Lattice parameters (Å, degrees): 5.9684 5.9684 4.6529 107.75 107.75 91.15
With the nearest neighbours (Å) after each atom.
Positions (direct):
1 Mn 0.0000 0.0000 0.0000  8 Fe 2.33-2.54
2 Ga 0.2863 0.7137 0.5000  7 Fe 2.44-2.53
3 Ga 0.5000 0.5000 0.0000  6 Fe 2.41-2.45
4 Ga 0.7137 0.2863 0.5000  7 Fe 2.44-2.53
5 Fe 0.0000 0.0000 0.5000  2 Mn 2.33, 2 Fe 2.44, 2 Ga 2.44
6 Fe 0.0857 0.5725 0.8287  3 Ga 2.45-2.52, 4 Fe 2.48-2.63, 1 Mn 2.54
7 Fe 0.2793 0.2793 0.4516  1 Mn 2.36, 3 Ga 2.41-2.53, 5 Fe 2.44-2.63
8 Fe 0.4275 0.9143 0.1713  3 Ga 2.45-2.52, 4 Fe 2.48-2.63, 1 Mn 2.54
9 Fe 0.5725 0.0857 0.8287  3 Ga 2.45-2.52, 4 Fe 2.48-2.63, 1 Mn 2.54
10 Fe 0.7207 0.7207 0.5484  1 Mn 2.36, 3 Ga 2.41-2.53, 5 Fe 2.44-2.63
11 Fe 0.9143 0.4275 0.1713  3 Ga 2.45-2.52, 4 Fe 2.48-2.63, 1 Mn 2.54

Results
crystal system: monoclinic
formation energy: 0.28 eV per atom

=====

(3)
Material: CaCuTe2
Method: DFT, PBE
State: optimized geometry

Lattice parameters (Å, degrees): 4.1406 4.1406 7.5704 105.52 105.52 60.30
With the nearest neighbours (Å) after each atom.
Positions (direct):
1 Ca 0.0000 0.0000 0.0000  6 Te 3.19
2 Cu 0.5000 0.5000 0.5000  6 Te 2.79-2.84
3 Te 0.2381 0.2381 0.7075  3 Cu 2.79-2.84
4 Te 0.7619 0.7619 0.2925  3 Cu 2.79-2.84

Results
formation energy (no corrections): -0.588 eV per atom
crystal system: monoclinic

=====

(4)
Material: Zr2AlCl
Method: DFT, PBE
State: optimized geometry

Lattice parameters (Å, degrees): 6.7570 6.7570 6.7570 152.89 143.92 45.71
With the nearest neighbours (Å) after each atom.
Positions (direct):
1 Zr 0.0000 0.0000 0.0000  2 Cl 2.72, 4 Al 2.83
2 Zr 0.7620 0.2620 0.5000  2 Al 2.83, 4 Cl 2.83, 2 Zr 3.17
3 Al 0.4149 0.4149 0.0000  6 Zr 2.83, 2 Al 3.17
4 Cl 0.1771 0.6771 0.5000  6 Zr 2.72-2.83

Results
formation energy (no corrections): -0.369 eV per atom
crystal system: orthorhombic
offset from the most stable computed form: 81 kJ/mol of formula units

=====

(5)
Material: Nd5DyIn4
Method: DFT, PBE
State: optimized geometry

Lattice parameters (Å, degrees): 8.3993 9.2221 8.7589 90.00 90.00 90.00
With the nearest neighbours (Å) after each atom.
Positions (direct):
1 Nd 0.0060 0.0550 0.2339  4 In 3.24-3.33, 2 Nd 3.54-3.60
2 Nd 0.0060 0.4450 0.2339  4 In 3.24-3.33, 2 Nd 3.54-3.60
3 Nd 0.2500 0.7500 0.1571  4 In 2.96-3.29
4 Nd 0.4940 0.0550 0.2339  4 In 3.24-3.33, 2 Nd 3.54-3.60
5 Nd 0.4940 0.4450 0.2339  4 In 3.24-3.33, 2 Nd 3.54-3.60
6 Nd 0.5060 0.5550 0.7661  4 In 3.24-3.33, 2 Nd 3.54-3.60
7 Nd 0.5060 0.9450 0.7661  4 In 3.24-3.33, 2 Nd 3.54-3.60
8 Nd 0.7500 0.2500 0.8429  4 In 2.96-3.29
9 Nd 0.9940 0.5550 0.7661  4 In 3.24-3.33, 2 Nd 3.54-3.60
10 Nd 0.9940 0.9450 0.7661  4 In 3.24-3.33, 2 Nd 3.54-3.60
11 Dy 0.2500 0.2500 0.5835  4 In 3.23-3.37
12 Dy 0.7500 0.7500 0.4165  4 In 3.23-3.37
13 In 0.0887 0.2500 0.9363  1 In 2.71, 1 Nd 2.96
14 In 0.2500 0.5893 0.4921  1 In 2.96, 1 Dy 3.23, 3 Nd 3.24-3.29
15 In 0.2500 0.9107 0.4921  1 In 2.96, 1 Dy 3.23, 3 Nd 3.24-3.29
16 In 0.4113 0.2500 0.9363  1 In 2.71, 1 Nd 2.96
17 In 0.5887 0.7500 0.0637  1 In 2.71, 1 Nd 2.96
18 In 0.7500 0.0893 0.5079  1 In 2.96, 1 Dy 3.23, 3 Nd 3.24-3.29
19 In 0.7500 0.4107 0.5079  1 In 2.96, 1 Dy 3.23, 3 Nd 3.24-3.29
20 In 0.9113 0.7500 0.0637  1 In 2.71, 1 Nd 2.96

Results
crystal system: orthorhombic
offset from the most stable computed form: 251 kJ/mol of formula units
formation energy: -0.11 eV per atom

=====

(6)
Material: Ta2TcIr
Method: DFT, PBE
State: optimized geometry

Lattice parameters (Å, degrees): 9.1085 9.1085 9.1085 153.74 153.74 37.48
With the nearest neighbours (Å) after each atom.
Positions (direct):
1 Ta 0.1243 0.6250 0.9993  2 Tc 2.60, 2 Ir 2.61
2 Ta 0.3750 0.3743 0.4993  2 Tc 2.60, 2 Ir 2.61
3 Ta 0.6257 0.1250 0.0007  2 Tc 2.60, 2 Ir 2.61
4 Ta 0.8750 0.8757 0.5007  2 Tc 2.60, 2 Ir 2.61
5 Tc 0.0000 0.0000 0.0000  4 Ta 2.60
6 Tc 0.7500 0.2500 0.5000  4 Ta 2.60
7 Ir 0.2500 0.7500 0.5000  4 Ta 2.61
8 Ir 0.5000 0.5000 0.0000  4 Ta 2.61

Results
crystal system: tetragonal
formation energy: 0.51 eV per atom

=====

(7)
Material: CuSn4Rh
Method: DFT, PBE
State: optimized geometry

Lattice parameters (Å, degrees): 7.3747 7.3747 7.3747 126.23 126.23 79.52
With the nearest neighbours (Å) after each atom.
Positions (direct):
1 Cu 0.0000 0.0000 0.0000  2 Rh 2.83, 8 Sn 2.93
2 Cu 0.5000 0.5000 0.0000  2 Rh 2.83, 8 Sn 2.93
3 Sn 0.0260 0.5260 0.8182  2 Rh 2.84, 2 Cu 2.93, 3 Sn 3.00-3.16
4 Sn 0.2078 0.0260 0.5000  2 Rh 2.84, 2 Cu 2.93, 3 Sn 3.00-3.16
5 Sn 0.2922 0.7922 0.8182  2 Rh 2.84, 2 Cu 2.93, 3 Sn 3.00-3.16
6 Sn 0.4740 0.2922 0.5000  2 Rh 2.84, 2 Cu 2.93, 3 Sn 3.00-3.16
7 Sn 0.5260 0.7078 0.5000  2 Rh 2.84, 2 Cu 2.93, 3 Sn 3.00-3.16
8 Sn 0.7078 0.2078 0.1818  2 Rh 2.84, 2 Cu 2.93, 3 Sn 3.00-3.16
9 Sn 0.7922 0.9740 0.5000  2 Rh 2.84, 2 Cu 2.93, 3 Sn 3.00-3.16
10 Sn 0.9740 0.4740 0.1818  2 Rh 2.84, 2 Cu 2.93, 3 Sn 3.00-3.16
11 Rh 0.2500 0.2500 0.0000  2 Cu 2.83, 8 Sn 2.84
12 Rh 0.7500 0.7500 0.0000  2 Cu 2.83, 8 Sn 2.84

Results
crystal system: tetragonal
offset from the most stable computed form: 13 kJ/mol of formula units
formation energy: -0.18 eV per atom

=====

(8)
Material: Cd5Hg12Ge3
Method: DFT, PBE
State: optimized geometry

Lattice parameters (Å, degrees): 14.5982 14.5982 14.5982 109.47 109.47 109.47
With the nearest neighbours (Å) after each atom.
Positions (direct):
1 Cd 0.0000 0.0000 0.0000  6 Hg 2.96
2 Cd 0.0000 0.0000 0.5000  6 Hg 2.96
3 Cd 0.0000 0.5000 0.0000  6 Hg 2.96
4 Cd 0.0000 0.5000 0.5000  6 Hg 2.96
5 Cd 0.1250 0.7500 0.8750  4 Hg 2.84
6 Cd 0.1250 0.8750 0.2500  4 Hg 2.84
7 Cd 0.2500 0.1250 0.8750  4 Hg 2.84
8 Cd 0.2500 0.6250 0.3750  4 Hg 2.84
9 Cd 0.3750 0.2500 0.6250  4 Hg 2.84
10 Cd 0.3750 0.6250 0.7500  4 Hg 2.84
11 Cd 0.5000 0.0000 0.0000  6 Hg 2.96
12 Cd 0.5000 0.0000 0.5000  6 Hg 2.96
13 Cd 0.5000 0.5000 0.0000  6 Hg 2.96
14 Cd 0.5000 0.5000 0.5000  6 Hg 2.96
15 Cd 0.6250 0.3750 0.2500  4 Hg 2.84
16 Cd 0.6250 0.7500 0.3750  4 Hg 2.84
17 Cd 0.7500 0.3750 0.6250  4 Hg 2.84
18 Cd 0.7500 0.8750 0.1250  4 Hg 2.84
19 Cd 0.8750 0.1250 0.7500  4 Hg 2.84
20 Cd 0.8750 0.2500 0.1250  4 Hg 2.84
21 Hg 0.0652 0.6324 0.3943  1 Ge 2.81, 2 Cd 2.84-2.96, 1 Hg 3.09
22 Hg 0.0652 0.9328 0.6708  1 Ge 2.81, 2 Cd 2.84-2.96, 1 Hg 3.09
23 Hg 0.0672 0.2381 0.1324  1 Ge 2.81, 2 Cd 2.84-2.96, 1 Hg 3.09
24 Hg 0.0672 0.3292 0.9348  1 Ge 2.81, 2 Cd 2.84-2.96, 1 Hg 3.09
25 Hg 0.1057 0.7381 0.6708  1 Ge 2.81, 2 Cd 2.84-2.96, 1 Hg 3.09
26 Hg 0.1057 0.8676 0.4348  1 Ge 2.81, 2 Cd 2.84-2.96, 1 Hg 3.09
27 Hg 0.1324 0.0672 0.2381  1 Ge 2.81, 2 Cd 2.84-2.96, 1 Hg 3.09
28 Hg 0.1324 0.5652 0.8943  1 Ge 2.81, 2 Cd 2.84-2.96, 1 Hg 3.09
29 Hg 0.1708 0.2381 0.6057  1 Ge 2.81, 2 Cd 2.84-2.96, 1 Hg 3.09
30 Hg 0.1708 0.4328 0.5652  1 Ge 2.81, 2 Cd 2.84-2.96, 1 Hg 3.09
31 Hg 0.2381 0.1324 0.0672  1 Ge 2.81, 2 Cd 2.84-2.96, 1 Hg 3.09
32 Hg 0.2381 0.6057 0.1708  1 Ge 2.81, 2 Cd 2.84-2.96, 1 Hg 3.09
33 Hg 0.2619 0.3292 0.8943  1 Ge 2.81, 2 Cd 2.84-2.96, 1 Hg 3.09
34 Hg 0.2619 0.4328 0.3676  1 Ge 2.81, 2 Cd 2.84-2.96, 1 Hg 3.09
35 Hg 0.3292 0.8943 0.2619  1 Ge 2.81, 2 Cd 2.84-2.96, 1 Hg 3.09
36 Hg 0.3292 0.9348 0.0672  1 Ge 2.81, 2 Cd 2.84-2.96, 1 Hg 3.09
37 Hg 0.3676 0.2619 0.4328  1 Ge 2.81, 2 Cd 2.84-2.96, 1 Hg 3.09
38 Hg 0.3676 0.6057 0.9348  1 Ge 2.81, 2 Cd 2.84-2.96, 1 Hg 3.09
39 Hg 0.3943 0.0652 0.6324  1 Ge 2.81, 2 Cd 2.84-2.96, 1 Hg 3.09
40 Hg 0.3943 0.8292 0.7619  1 Ge 2.81, 2 Cd 2.84-2.96, 1 Hg 3.09
41 Hg 0.4328 0.3676 0.2619  1 Ge 2.81, 2 Cd 2.84-2.96, 1 Hg 3.09
42 Hg 0.4328 0.5652 0.1708  1 Ge 2.81, 2 Cd 2.84-2.96, 1 Hg 3.09
43 Hg 0.4348 0.1057 0.8676  1 Ge 2.81, 2 Cd 2.84-2.96, 1 Hg 3.09
44 Hg 0.4348 0.8292 0.5672  1 Ge 2.81, 2 Cd 2.84-2.96, 1 Hg 3.09
45 Hg 0.5652 0.1708 0.4328  1 Ge 2.81, 2 Cd 2.84-2.96, 1 Hg 3.09
46 Hg 0.5652 0.8943 0.1324  1 Ge 2.81, 2 Cd 2.84-2.96, 1 Hg 3.09
47 Hg 0.5672 0.4348 0.8292  1 Ge 2.81, 2 Cd 2.84-2.96, 1 Hg 3.09
48 Hg 0.5672 0.6324 0.7381  1 Ge 2.81, 2 Cd 2.84-2.96, 1 Hg 3.09
49 Hg 0.6057 0.1708 0.2381  1 Ge 2.81, 2 Cd 2.84-2.96, 1 Hg 3.09
50 Hg 0.6057 0.9348 0.3676  1 Ge 2.81, 2 Cd 2.84-2.96, 1 Hg 3.09
51 Hg 0.6324 0.3943 0.0652  1 Ge 2.81, 2 Cd 2.84-2.96, 1 Hg 3.09
52 Hg 0.6324 0.7381 0.5672  1 Ge 2.81, 2 Cd 2.84-2.96, 1 Hg 3.09
53 Hg 0.6708 0.0652 0.9328  1 Ge 2.81, 2 Cd 2.84-2.96, 1 Hg 3.09
54 Hg 0.6708 0.1057 0.7381  1 Ge 2.81, 2 Cd 2.84-2.96, 1 Hg 3.09
55 Hg 0.7381 0.5672 0.6324  1 Ge 2.81, 2 Cd 2.84-2.96, 1 Hg 3.09
56 Hg 0.7381 0.6708 0.1057  1 Ge 2.81, 2 Cd 2.84-2.96, 1 Hg 3.09
57 Hg 0.7619 0.3943 0.8292  1 Ge 2.81, 2 Cd 2.84-2.96, 1 Hg 3.09
58 Hg 0.7619 0.8676 0.9328  1 Ge 2.81, 2 Cd 2.84-2.96, 1 Hg 3.09
59 Hg 0.8292 0.5672 0.4348  1 Ge 2.81, 2 Cd 2.84-2.96, 1 Hg 3.09
60 Hg 0.8292 0.7619 0.3943  1 Ge 2.81, 2 Cd 2.84-2.96, 1 Hg 3.09
61 Hg 0.8676 0.4348 0.1057  1 Ge 2.81, 2 Cd 2.84-2.96, 1 Hg 3.09
62 Hg 0.8676 0.9328 0.7619  1 Ge 2.81, 2 Cd 2.84-2.96, 1 Hg 3.09
63 Hg 0.8943 0.1324 0.5652  1 Ge 2.81, 2 Cd 2.84-2.96, 1 Hg 3.09
64 Hg 0.8943 0.2619 0.3292  1 Ge 2.81, 2 Cd 2.84-2.96, 1 Hg 3.09
65 Hg 0.9328 0.6708 0.0652  1 Ge 2.81, 2 Cd 2.84-2.96, 1 Hg 3.09
66 Hg 0.9328 0.7619 0.8676  1 Ge 2.81, 2 Cd 2.84-2.96, 1 Hg 3.09
67 Hg 0.9348 0.0672 0.3292  1 Ge 2.81, 2 Cd 2.84-2.96, 1 Hg 3.09
68 Hg 0.9348 0.3676 0.6057  1 Ge 2.81, 2 Cd 2.84-2.96, 1 Hg 3.09
69 Ge 0.1250 0.2500 0.3750  4 Hg 2.81
70 Ge 0.1250 0.3750 0.7500  4 Hg 2.81
71 Ge 0.2500 0.3750 0.1250  4 Hg 2.81
72 Ge 0.2500 0.8750 0.6250  4 Hg 2.81
73 Ge 0.3750 0.1250 0.2500  4 Hg 2.81
74 Ge 0.3750 0.7500 0.1250  4 Hg 2.81
75 Ge 0.6250 0.2500 0.8750  4 Hg 2.81
76 Ge 0.6250 0.8750 0.7500  4 Hg 2.81
77 Ge 0.7500 0.1250 0.3750  4 Hg 2.81
78 Ge 0.7500 0.6250 0.8750  4 Hg 2.81
79 Ge 0.8750 0.6250 0.2500  4 Hg 2.81
80 Ge 0.8750 0.7500 0.6250  4 Hg 2.81

Results
crystal system: cubic
formation energy: 0.20 eV per atom

=====

(9)
Material: Ac8POs3Br3
Method: DFT, PBE
State: optimized geometry

Lattice parameters (Å, degrees): 8.8601 8.8601 9.4006 118.08 118.08 60.03
With the nearest neighbours (Å) after each atom.
Positions (direct):
1 Ac 0.2184 0.7395 0.6973  2 Os 2.95, 1 P 3.09
2 Ac 0.2344 0.2344 0.7037  3 Os 3.02
3 Ac 0.2607 0.2607 0.3028  2 Os 2.95, 1 P 3.09
4 Ac 0.2605 0.7816 0.3027  2 Os 2.95, 1 P 3.09
5 Ac 0.7395 0.2184 0.6973  2 Os 2.95, 1 P 3.09
6 Ac 0.7393 0.7393 0.6972  2 Os 2.95, 1 P 3.09
7 Ac 0.7656 0.7656 0.2963  3 Os 3.02
8 Ac 0.7816 0.2605 0.3027  2 Os 2.95, 1 P 3.09
9 P 0.5000 0.5000 0.5000  6 Ac 3.09
10 Os 0.0000 0.0000 0.5000  6 Ac 2.95-3.02
11 Os 0.0000 0.5000 0.5000  6 Ac 2.95-3.02
12 Os 0.5000 0.0000 0.5000  6 Ac 2.95-3.02
13 Br 0.0000 0.5000 0.0000  6 Ac 3.46-3.54
14 Br 0.5000 0.0000 0.0000  6 Ac 3.46-3.54
15 Br 0.5000 0.5000 0.0000  6 Ac 3.47-3.54

Results
formation energy (no corrections): -0.726 eV per atom
crystal system: monoclinic

=====

(10)
Material: Nd6TlRh2
Method: DFT, PBE
State: optimized geometry

Lattice parameters (Å, degrees): 8.8040 8.8040 8.8040 113.52 110.07 104.94
With the nearest neighbours (Å) after each atom.
Positions (direct):
1 Nd 0.0316 0.2339 0.7978  1 Rh 2.86
2 Nd 0.1800 0.2928 0.4729  3 Rh 3.06-3.24, 1 Tl 3.36
3 Nd 0.1800 0.7072 0.8872  3 Rh 3.06-3.24, 1 Tl 3.36
4 Nd 0.3293 0.0212 0.6919  3 Rh 2.80-3.08
5 Nd 0.3293 0.6374 0.3081  3 Rh 2.80-3.08
6 Nd 0.4361 0.2339 0.2022  1 Rh 2.86
7 Nd 0.5639 0.7661 0.7978  1 Rh 2.86
8 Nd 0.6707 0.3626 0.6919  3 Rh 2.80-3.08
9 Nd 0.6707 0.9788 0.3081  3 Rh 2.80-3.08
10 Nd 0.8200 0.2928 0.1128  3 Rh 3.06-3.24, 1 Tl 3.36
11 Nd 0.8200 0.7072 0.5271  3 Rh 3.06-3.24, 1 Tl 3.36
12 Nd 0.9684 0.7661 0.2022  1 Rh 2.86
13 Tl 0.0000 0.0000 0.0000  8 Nd 3.23-3.36, 2 Rh 3.40
14 Tl 0.5000 0.5000 0.0000  12 Nd 3.49-3.80
15 Rh 0.1331 0.6331 0.5000  6 Nd 2.80-3.06, 1 Rh 2.85
16 Rh 0.3373 0.0000 0.3373  6 Nd 2.86-3.08
17 Rh 0.6627 0.0000 0.6627  6 Nd 2.86-3.08
18 Rh 0.8669 0.3669 0.5000  6 Nd 2.80-3.06, 1 Rh 2.85

Results
crystal system: orthorhombic
offset from the most stable computed form: 0 kJ/mol of formula units
formation energy: -0.45 eV per atom

=====

(11)
Material: Pu2AlHg
Method: DFT, PBE
State: optimized geometry

Lattice parameters (Å, degrees): 3.9980 3.9980 5.9901 90.00 90.00 90.00
With the nearest neighbours (Å) after each atom.
Positions (direct):
1 Pu 0.0000 0.0000 0.2415  2 Pu 2.89-3.10, 4 Al 3.18, 4 Hg 3.22
2 Pu 0.0000 0.0000 0.7585  2 Pu 2.89-3.10, 4 Al 3.18, 4 Hg 3.22
3 Al 0.5000 0.5000 0.0000  2 Hg 3.00, 8 Pu 3.18
4 Hg 0.5000 0.5000 0.5000  2 Al 3.00, 8 Pu 3.22

Results
crystal system: tetragonal
offset from the most stable computed form: 0 kJ/mol of formula units
formation energy: -0.08 eV per atom

=====

(12)
Material: Cs4BrF2
Method: DFT, PBE
State: optimized geometry

Lattice parameters (Å, degrees): 9.5358 9.5358 9.5358 138.37 138.37 60.33
With the nearest neighbours (Å) after each atom.
Positions (direct):
1 Cs 0.0000 0.5000 0.5000  2 Br 3.39, 4 F 3.79
2 Cs 0.2416 0.2416 0.0000  1 F 2.56
3 Cs 0.5000 0.0000 0.5000  2 Br 3.39, 4 F 3.79
4 Cs 0.7584 0.7584 0.0000  1 F 2.56
5 Br 0.0000 0.0000 0.0000  4 Cs 3.39
6 F 0.3967 0.3967 0.0000  1 Cs 2.56
7 F 0.6033 0.6033 0.0000  1 Cs 2.56

Results
formation energy (no corrections): -1.770 eV per atom
crystal system: tetragonal

=====

no.,ρ (g/cm3),N(E_F) (states/eV/f.u.)
1,4.74,10.3
2,7.29,8.3
3,5.56,4.5
4,4.93,2.7
5,6.57,10.0
6,14.66,5.1
7,8.44,2.7
8,8.84,8.9
9,8.22,11.8
10,8.11,8.2
11,12.41,13.3
12,2.85,1.5